First-principles (GGA-PBE) data for a relaxed structure of Ba4TlHg, as listed in the Alexandria database.

```
Ba4TlHg
1.0
4.2896 0.0000 0.0000
0.0000 4.2896 0.0000
0.0000 0.0000 15.3999
Ba Tl Hg
4 1 1
Cartesian
0.0000 0.0000 1.9826
0.0000 0.0000 13.4173
2.1448 2.1448 5.6480
2.1448 2.1448 9.7519
0.0000 0.0000 7.7000
2.1448 2.1448 0.0000
```

Calculated values
V (Å³/f.u.): 283
Energy relative to the lowest polymorph listed for this composition (eV per atom): 0.000
Uncorrected energy (eV/atom): -2.0730
M_tot (Bohr magnetons per cell): 0.00

First-principles (GGA-PBE) data for a relaxed structure of CoIr5Rh6, as listed in the Alexandria database.

```
CoIr5Rh6
1.0
-1.9134 3.8470 5.7395
1.9134 -3.8470 5.7395
1.9134 3.8470 -5.7395
Co Ir Rh
1 5 6
Cartesian
0.0000 0.0000 0.0000
1.9134 0.0000 1.8907
0.0000 0.0000 3.8069
0.0000 3.8470 0.0000
0.0000 0.0000 7.6722
0.0000 3.8470 3.8488
1.9134 -1.9355 3.8431
1.9134 1.9040 0.0000
0.0000 1.9115 1.8965
1.9134 1.9355 3.8431
0.0000 1.9430 5.7395
0.0000 5.7826 1.8965
```

Calculated values
V (Å³/f.u.): 169
Uncorrected energy (eV/atom): -7.9534
M_tot (Bohr magnetons per cell): 1.63

The lowest uncorrected energy belongs to which entry? CoIr5Rh6

Repeat the first record exactly.
First-principles (GGA-PBE) data for a relaxed structure of Ba4TlHg, as listed in the Alexandria database.

```
Ba4TlHg
1.0
4.2896 0.0000 0.0000
0.0000 4.2896 0.0000
0.0000 0.0000 15.3999
Ba Tl Hg
4 1 1
Cartesian
0.0000 0.0000 1.9826
0.0000 0.0000 13.4173
2.1448 2.1448 5.6480
2.1448 2.1448 9.7519
0.0000 0.0000 7.7000
2.1448 2.1448 0.0000
```

Calculated values
V (Å³/f.u.): 283
Energy relative to the lowest polymorph listed for this composition (eV per atom): 0.000
Uncorrected energy (eV/atom): -2.0730
M_tot (Bohr magnetons per cell): 0.00

The lowest uncorrected energy belongs to which entry? CoIr5Rh6